Computed, not measured: crystalline HgWCl2 at its relaxed geometry at the PBE level of DFT.

Unit cell a=3.023 b=2.990 c=10.642 alpha=88.61 beta=90.00 gamma=90.00
Fractional positions:
Cl (0.000, 0.766, 0.573)
Hg (0.500, 0.250, 0.250)
Cl (0.000, 0.734, 0.927)
W (0.500, 0.750, 0.750)

Calculated values
ΔE to the lowest computed polymorph = 0.00 eV/f.u.

Computed, not measured: crystalline HgW2Cl at its relaxed geometry at the PBE level of DFT.

Unit cell a=2.811 b=2.811 c=8.821 alpha=90.00 beta=90.00 gamma=90.00
Fractional positions:
W (0.000, 0.000, 0.491)
W (0.000, 0.000, 0.009)
Cl (0.500, 0.500, 0.250)
Hg (0.500, 0.500, 0.750)

Calculated values
ΔE to the lowest computed polymorph = 3.30 eV/f.u.

Computed, not measured: crystalline HgW2Cl at its relaxed geometry at the PBE level of DFT.

Unit cell a=4.573 b=4.573 c=4.573 alpha=60.00 beta=60.00 gamma=60.00
Fractional positions:
W (0.250, 0.250, 0.250)
W (0.750, 0.750, 0.750)
Cl (0.000, 0.000, 0.000)
Hg (0.500, 0.500, 0.500)

Calculated values
ΔE to the lowest computed polymorph = 4.02 eV/f.u.

Computed, not measured: crystalline HgWCl2 at its relaxed geometry at the PBE level of DFT.

Unit cell a=2.925 b=4.035 c=7.345 alpha=90.00 beta=90.00 gamma=90.00
Fractional positions:
Cl (0.500, 0.500, 0.176)
Hg (0.000, 0.000, 0.532)
W (0.500, 0.500, 0.858)
Cl (0.000, 0.000, 0.933)

Calculated values
ΔE to the lowest computed polymorph = 2.00 eV/f.u.

Computed, not measured: crystalline HgW2Cl at its relaxed geometry at the PBE level of DFT.

Unit cell a=4.036 b=4.036 c=10.008 alpha=78.37 beta=78.37 gamma=90.00
Fractional positions:
Hg (0.750, 0.250, 0.500)
Cl (0.250, 0.750, 0.500)
Hg (0.000, 0.000, 0.000)
W (0.176, 0.625, 0.250)
W (0.574, 0.125, 0.250)
W (0.875, 0.824, 0.750)
Cl (0.500, 0.500, 0.000)
W (0.375, 0.426, 0.750)

Calculated values
ΔE to the lowest computed polymorph = 3.35 eV/f.u.

Computed, not measured: crystalline HgWCl2 at its relaxed geometry at the PBE level of DFT.

Unit cell a=3.066 b=3.066 c=9.771 alpha=90.00 beta=90.00 gamma=90.00
Site moments in Bohr magnetons follow the coordinates.
Fractional positions:
Cl (0.000, 0.000, 0.599)  0.01
W (0.500, 0.500, 0.750)  0.48
Cl (0.000, 0.000, 0.901)  0.01
Hg (0.500, 0.500, 0.250)  0.01

Calculated values
ΔE to the lowest computed polymorph = 1.71 eV/f.u.

Computed, not measured: crystalline HgWCl2 at its relaxed geometry at the PBE level of DFT.

Unit cell a=3.328 b=3.328 c=9.681 alpha=90.00 beta=90.00 gamma=124.43
Site moments in Bohr magnetons follow the coordinates.
Fractional positions:
Hg (0.000, 0.000, 0.508)  0.00
W (0.500, 0.500, 0.752)  0.62
Cl (0.500, 0.500, 0.297)  0.00
Cl (0.000, 0.000, 0.943)  0.02

Calculated values
ΔE to the lowest computed polymorph = 1.23 eV/f.u.

Computed, not measured: crystalline HgWCl2 at its relaxed geometry at the PBE level of DFT.

Unit cell a=10.782 b=10.782 c=10.782 alpha=16.76 beta=16.76 gamma=16.76
Fractional positions:
Cl (0.029, 0.029, 0.029)
Hg (0.250, 0.250, 0.250)
W (0.750, 0.750, 0.750)
Cl (0.471, 0.471, 0.471)

Calculated values
ΔE to the lowest computed polymorph = 0.16 eV/f.u.

Computed, not measured: crystalline Hg2WCl at its relaxed geometry at the PBE level of DFT.

Unit cell a=2.786 b=5.482 c=5.482 alpha=90.00 beta=90.00 gamma=90.00
Site moments in Bohr magnetons follow the coordinates.
Fractional positions:
Hg (0.000, 0.500, 0.500)  0.00
Hg (0.000, 0.000, 0.000)  0.00
Cl (0.500, 0.000, 0.500)  0.04
W (0.500, 0.500, 0.000)  0.60

Calculated values
ΔE to the lowest computed polymorph = 1.61 eV/f.u.

Computed, not measured: crystalline HgWCl2 at its relaxed geometry at the PBE level of DFT.

Unit cell a=3.091 b=3.091 c=8.281 alpha=90.00 beta=90.00 gamma=90.00
Fractional positions:
Hg (0.000, 0.000, 0.516)
Cl (0.500, 0.500, 0.287)
Cl (0.000, 0.000, 0.933)
W (0.500, 0.500, 0.764)

Calculated values
ΔE to the lowest computed polymorph = 1.86 eV/f.u.

Computed, not measured: crystalline HgWCl6 at its relaxed geometry at the PBE level of DFT.

Unit cell a=7.051 b=7.987 c=6.687 alpha=53.33 beta=79.10 gamma=71.55
Fractional positions:
Cl (0.304, 0.833, 0.697)
Cl (0.304, 0.530, 0.303)
Hg (0.000, 0.000, 0.000)
Cl (0.696, 0.167, 0.303)
Cl (0.696, 0.470, 0.697)
W (0.500, 0.500, 0.000)
Cl (0.711, 0.670, 0.000)
Cl (0.289, 0.330, 0.000)

Calculated values
Uncorrected energy = -3.7846 eV per atom

Computed, not measured: crystalline HgWCl2 at its relaxed geometry at the PBE level of DFT.

Unit cell a=9.058 b=9.058 c=9.058 alpha=20.64 beta=20.64 gamma=20.64
Fractional positions:
Cl (0.020, 0.020, 0.020)
W (0.745, 0.745, 0.745)
Cl (0.238, 0.238, 0.238)
Hg (0.497, 0.497, 0.497)

Calculated values
ΔE to the lowest computed polymorph = 0.76 eV/f.u.

Computed, not measured: crystalline HgWCl2 at its relaxed geometry at the PBE level of DFT.

Unit cell a=7.188 b=7.188 c=7.149 alpha=46.27 beta=46.27 gamma=24.20
Site moments in Bohr magnetons follow the coordinates.
Fractional positions:
Cl (0.741, 0.741, 0.847)  0.04
Cl (0.897, 0.897, 0.126)  0.04
W (0.299, 0.299, 0.026)  1.01
Hg (0.562, 0.562, 0.500)  0.02

Calculated values
ΔE to the lowest computed polymorph = 0.17 eV/f.u.

Computed, not measured: crystalline Hg2WCl at its relaxed geometry at the PBE level of DFT.

Unit cell a=5.893 b=5.893 c=5.893 alpha=139.26 beta=139.26 gamma=58.98
Site moments in Bohr magnetons follow the coordinates.
Fractional positions:
Hg (0.000, 0.000, 0.000)  0.02
W (0.250, 0.750, 0.500)  2.62
Cl (0.750, 0.250, 0.500)  0.03
Hg (0.500, 0.500, 0.000)  0.02

Calculated values
ΔE to the lowest computed polymorph = 2.92 eV/f.u.

Computed, not measured: crystalline HgWCl2 at its relaxed geometry at the PBE level of DFT.

Unit cell a=4.949 b=4.949 c=4.949 alpha=60.00 beta=60.00 gamma=60.00
Site moments in Bohr magnetons follow the coordinates.
Fractional positions:
Cl (0.250, 0.250, 0.250)  0.05
Cl (0.000, 0.000, 0.000)  -0.02
W (0.750, 0.750, 0.750)  3.01
Hg (0.500, 0.500, 0.500)  0.05

Calculated values
ΔE to the lowest computed polymorph = 4.43 eV/f.u.

Computed, not measured: crystalline HgWCl3 at its relaxed geometry at the PBE level of DFT.

Unit cell a=4.879 b=4.879 c=4.879 alpha=90.00 beta=90.00 gamma=90.00
Site moments in Bohr magnetons follow the coordinates.
Fractional positions:
W (0.000, 0.000, 0.000)  1.47
Hg (0.500, 0.500, 0.500)  -0.01
Cl (0.000, 0.500, 0.000)  0.03
Cl (0.000, 0.000, 0.500)  0.00
Cl (0.500, 0.000, 0.000)  0.10

Calculated values
ΔE to the lowest computed polymorph = 0.00 eV/f.u.

Computed, not measured: crystalline HgW2Cl at its relaxed geometry at the PBE level of DFT.

Unit cell a=5.650 b=5.650 c=5.261 alpha=62.28 beta=62.28 gamma=28.73
Fractional positions:
Hg (0.750, 0.750, 0.750)
Cl (0.250, 0.250, 0.250)
W (0.519, 0.519, 0.481)
W (0.981, 0.981, 0.019)

Calculated values
ΔE to the lowest computed polymorph = 2.12 eV/f.u.

Computed, not measured: crystalline HgWCl2 at its relaxed geometry at the PBE level of DFT.

Unit cell a=3.075 b=5.660 c=4.600 alpha=90.00 beta=90.00 gamma=90.00
Site moments in Bohr magnetons follow the coordinates.
Fractional positions:
W (0.000, 0.500, 0.500)  1.73
Cl (0.500, 0.500, 0.000)  -0.03
Cl (0.000, 0.000, 0.000)  0.06
Hg (0.500, 0.000, 0.500)  -0.01

Calculated values
ΔE to the lowest computed polymorph = 3.54 eV/f.u.

Computed, not measured: crystalline HgW2Cl at its relaxed geometry at the PBE level of DFT.

Unit cell a=4.975 b=3.341 c=5.134 alpha=96.74 beta=90.00 gamma=90.00
Fractional positions:
W (0.000, 0.050, 0.925)
Cl (0.500, 0.250, 0.250)
Hg (0.500, 0.750, 0.750)
W (0.000, 0.450, 0.575)

Calculated values
ΔE to the lowest computed polymorph = 2.11 eV/f.u.

Computed, not measured: crystalline HgW3Cl at its relaxed geometry at the PBE level of DFT.

Unit cell a=4.444 b=4.444 c=4.444 alpha=90.00 beta=90.00 gamma=90.00
Fractional positions:
Hg (0.500, 0.500, 0.500)
Cl (0.000, 0.000, 0.000)
W (0.000, 0.000, 0.500)
W (0.000, 0.500, 0.000)
W (0.500, 0.000, 0.000)

Calculated values
ΔE to the lowest computed polymorph = 0.00 eV/f.u.

Computed, not measured: crystalline HgWCl3 at its relaxed geometry at the PBE level of DFT.

Unit cell a=5.242 b=5.242 c=5.242 alpha=90.00 beta=90.00 gamma=90.00
Site moments in Bohr magnetons follow the coordinates.
Fractional positions:
Hg (0.000, 0.000, 0.000)  0.00
Cl (0.000, 0.000, 0.500)  0.01
Cl (0.500, 0.000, 0.000)  0.00
W (0.500, 0.500, 0.500)  3.58
Cl (0.000, 0.500, 0.000)  0.00

Calculated values
ΔE to the lowest computed polymorph = 5.36 eV/f.u.

Computed, not measured: crystalline HgWCl2 at its relaxed geometry at the PBE level of DFT.

Unit cell a=4.980 b=4.980 c=4.980 alpha=60.00 beta=60.00 gamma=60.00
Site moments in Bohr magnetons follow the coordinates.
Fractional positions:
Cl (0.750, 0.750, 0.750)  0.00
W (0.500, 0.500, 0.500)  3.13
Hg (0.000, 0.000, 0.000)  -0.07
Cl (0.250, 0.250, 0.250)  0.00

Calculated values
ΔE to the lowest computed polymorph = 4.42 eV/f.u.

Computed, not measured: crystalline HgWCl2 at its relaxed geometry at the PBE level of DFT.

Unit cell a=5.208 b=5.208 c=5.208 alpha=129.75 beta=129.75 gamma=73.80
Site moments in Bohr magnetons follow the coordinates.
Fractional positions:
W (0.750, 0.250, 0.500)  2.31
Hg (0.250, 0.750, 0.500)  -0.02
Cl (0.500, 0.500, 0.000)  -0.01
Cl (0.000, 0.000, 0.000)  -0.01

Calculated values
ΔE to the lowest computed polymorph = 4.42 eV/f.u.

Computed, not measured: crystalline Hg2WCl at its relaxed geometry at the PBE level of DFT.

Unit cell a=9.213 b=9.213 c=9.213 alpha=20.07 beta=20.07 gamma=20.07
Fractional positions:
Cl (0.750, 0.750, 0.750)
Hg (0.502, 0.502, 0.502)
W (0.250, 0.250, 0.250)
Hg (0.998, 0.998, 0.998)

Calculated values
ΔE to the lowest computed polymorph = 0.79 eV/f.u.

Computed, not measured: crystalline Hg2WCl at its relaxed geometry at the PBE level of DFT.

Unit cell a=2.927 b=5.088 c=5.534 alpha=90.00 beta=90.00 gamma=90.00
Site moments in Bohr magnetons follow the coordinates.
Fractional positions:
Hg (0.500, 0.500, 0.000)  0.01
Cl (0.000, 0.500, 0.500)  -0.01
W (0.500, 0.000, 0.500)  1.23
Hg (0.000, 0.000, 0.000)  -0.01

Calculated values
ΔE to the lowest computed polymorph = 2.11 eV/f.u.

Computed, not measured: crystalline Hg2WCl at its relaxed geometry at the PBE level of DFT.

Unit cell a=7.698 b=7.698 c=4.303 alpha=73.77 beta=73.77 gamma=21.17
Site moments in Bohr magnetons follow the coordinates.
Fractional positions:
Cl (0.250, 0.250, 0.250)  0.02
Hg (0.432, 0.432, 0.567)  0.00
Hg (0.068, 0.068, 0.933)  0.00
W (0.750, 0.750, 0.750)  0.41

Calculated values
ΔE to the lowest computed polymorph = 1.22 eV/f.u.

Computed, not measured: crystalline Hg2WCl at its relaxed geometry at the PBE level of DFT.

Unit cell a=4.916 b=4.916 c=4.916 alpha=60.00 beta=60.00 gamma=60.00
Site moments in Bohr magnetons follow the coordinates.
Fractional positions:
Hg (0.000, 0.000, 0.000)  0.06
W (0.750, 0.750, 0.750)  2.37
Hg (0.250, 0.250, 0.250)  -0.05
Cl (0.500, 0.500, 0.500)  0.04

Calculated values
ΔE to the lowest computed polymorph = 3.14 eV/f.u.

Computed, not measured: crystalline HgW2Cl at its relaxed geometry at the PBE level of DFT.

Unit cell a=3.014 b=3.014 c=9.092 alpha=90.00 beta=90.00 gamma=90.00
Fractional positions:
W (0.000, 0.000, 0.046)
W (0.500, 0.500, 0.226)
Cl (0.000, 0.000, 0.424)
Hg (0.500, 0.500, 0.803)

Calculated values
ΔE to the lowest computed polymorph = 0.42 eV/f.u.

Computed, not measured: crystalline Hg2WCl at its relaxed geometry at the PBE level of DFT.

Unit cell a=2.952 b=4.573 c=6.079 alpha=90.00 beta=90.00 gamma=90.00
Fractional positions:
Hg (0.000, 0.000, 0.987)
W (0.000, 0.000, 0.483)
Cl (0.500, 0.500, 0.740)
Hg (0.500, 0.500, 0.290)

Calculated values
ΔE to the lowest computed polymorph = 1.89 eV/f.u.

Computed, not measured: crystalline YHgCl2 at its relaxed geometry at the PBE level of DFT.

Unit cell a=5.933 b=5.933 c=5.933 alpha=137.54 beta=137.54 gamma=61.61
Fractional positions:
Cl (0.000, 0.000, 0.000)
Y (0.750, 0.250, 0.500)
Hg (0.500, 0.500, 0.000)
Cl (0.250, 0.750, 0.500)

Calculated values
ΔE to the lowest computed polymorph = 1.87 eV/f.u.

| no. | size of the total moment (μB per formula unit) |
| --- | --- |
| 1 | 0.00 |
| 2 | 0.00 |
| 3 | 0.00 |
| 4 | 0.01 |
| 5 | 0.00 |
| 6 | 0.64 |
| 7 | 0.79 |
| 8 | 0.00 |
| 9 | 0.85 |
| 10 | 0.00 |
| 11 | 0.00 |
| 12 | 0.01 |
| 13 | 1.44 |
| 14 | 3.56 |
| 15 | 4.00 |
| 16 | 1.96 |
| 17 | 0.00 |
| 18 | 2.27 |
| 19 | 0.00 |
| 20 | 0.00 |
| 21 | 4.93 |
| 22 | 4.01 |
| 23 | 2.86 |
| 24 | 0.00 |
| 25 | 1.59 |
| 26 | 0.53 |
| 27 | 3.05 |
| 28 | 0.00 |
| 29 | 0.00 |
| 30 | 0.00 |